Record 1
Here is a relaxed structure of Nd2Sb4RuRh3 from the Alexandria database. Energies are from PBE.

Summary:
For the total magnetization, the calculation gives 0.00 μB per formula unit. The value obtained for the calculated volume is 216.00 Å³ per cell. The uncorrected formation energy comes out at -0.74 eV per atom. The value obtained for the total DFT energy (no corrections) is -6.47 eV/atom. The space group is P-4m2.

a b c (Å): 4.4963 4.4963 10.6841
angles (deg): 90.00 90.00 90.00
Sites, in units of the cell vectors:
Rh 0.0000 0.0000 0.5000
Rh 0.0000 0.5000 0.1270
Sb 0.5000 0.5000 0.0000
Sb 0.5000 0.0000 0.6319
Nd 0.5000 0.0000 0.2545
Sb 0.0000 0.5000 0.3681
Nd 0.0000 0.5000 0.7455
Rh 0.5000 0.0000 0.8730
Sb 0.0000 0.0000 0.0000
Ru 0.5000 0.5000 0.5000

---

Record 2
Here is a relaxed structure of Ba2Zn3As2O2 from the Alexandria database. Energies are from PBE.

Summary:
For the total magnetization, the calculation gives 0.00 μB per formula unit. The value obtained for the calculated volume is 179.74 Å³ per cell. The uncorrected formation energy comes out at -1.26 eV per atom. The value obtained for the total DFT energy (no corrections) is -4.24 eV/atom. The space group is I4/mmm.

a b c (Å): 10.5089 10.5089 10.5089
angles (deg): 156.81 156.81 33.02
Sites, in units of the cell vectors:
O 0.0000 0.5000 0.5000
As 0.1749 0.1749 0.0000
Ba 0.5890 0.5890 0.0000
O 0.5000 0.0000 0.5000
Zn 0.7500 0.2500 0.5000
As 0.8251 0.8251 0.0000
Ba 0.4110 0.4110 0.0000
Zn 0.2500 0.7500 0.5000
Zn 0.0000 0.0000 0.0000

---

Record 3
Here is a relaxed structure of BeAgBr2 from the Alexandria database. Energies are from PBE.

Summary:
For the total magnetization, the calculation gives 0.00 μB per formula unit. The value obtained for the calculated volume is 108.87 Å³ per cell. The uncorrected formation energy comes out at 0.23 eV per atom. The value obtained for the total DFT energy (no corrections) is -2.25 eV/atom. The space group is Pmmm. The value obtained for the relative energy among the computed polymorphs is 50.5 kJ per mole of atoms.

a b c (Å): 3.8138 7.5453 3.7832
angles (deg): 90.00 90.00 90.00
Sites, in units of the cell vectors:
Be 0.0000 0.5000 0.5000
Br 0.0000 0.0000 0.0000
Ag 0.5000 0.0000 0.5000
Br 0.5000 0.5000 0.0000

---

Record 4
Here is a relaxed structure of CaCo3As from the Alexandria database. Energies are from PBE.

Summary:
For the total magnetization, the calculation gives 3.78 μB per formula unit. As for the formation enthalpy at 0 K: 1.855 eV/atom. The value obtained for the calculated volume is 91.85 Å³ per cell. The value obtained for the total DFT energy (no corrections) is -3.74 eV/atom. The space group is Pm-3m. The value obtained for the relative energy among the computed polymorphs is 158.0 kJ per mole of atoms.

a b c (Å): 4.5119 4.5119 4.5119
angles (deg): 90.00 90.00 90.00
Last column: magnetic moment on the atom in μB.
Sites, in units of the cell vectors:
Co 0.5000 0.0000 0.0000  1.39
As 0.5000 0.5000 0.5000  0.04
Ca 0.0000 0.0000 0.0000  -0.16
Co 0.0000 0.0000 0.5000  1.22
Co 0.0000 0.5000 0.0000  1.43

---

Record 5
Here is a relaxed structure of Mn2CdMo from the Alexandria database. Energies are from PBE.

Summary:
For the total magnetization, the calculation gives 5.85 μB per formula unit. As for the formation enthalpy at 0 K: 0.414 eV/atom. The value obtained for the calculated volume is 63.67 Å³ per cell. The value obtained for the total DFT energy (no corrections) is -7.11 eV/atom. The space group is C2/m.

a b c (Å): 4.6466 4.6466 5.2652
angles (deg): 84.62 84.62 34.25
Last column: magnetic moment on the atom in μB.
Sites, in units of the cell vectors:
Mn 0.9995 0.9995 0.9692  3.06
Cd 0.2500 0.2500 0.2500  -0.01
Mo 0.7500 0.7500 0.7500  -0.45
Mn 0.5005 0.5005 0.5308  3.06

---

Record 6
Here is a relaxed structure of V2Ag from the Alexandria database. Energies are from PBE.

Summary:
For the total magnetization, the calculation gives 0.00 μB per formula unit. As for the formation enthalpy at 0 K: 0.337 eV/atom. The value obtained for the calculated volume is 89.11 Å³ per cell. The value obtained for the total DFT energy (no corrections) is -6.69 eV/atom. The space group is Fd-3m.

a b c (Å): 5.0136 5.0136 5.0136
angles (deg): 60.00 60.00 60.00
Sites, in units of the cell vectors:
V 0.6250 0.6250 0.6250
V 0.6250 0.6250 0.1250
V 0.1250 0.6250 0.6250
Ag 0.2500 0.2500 0.2500
Ag 0.0000 0.0000 0.0000
V 0.6250 0.1250 0.6250

---

Record 7
Here is a relaxed structure of Pr8Er2In from the Alexandria database. Energies are from PBE.

Summary:
For the total magnetization, the calculation gives 0.00 μB per formula unit. As for the formation enthalpy at 0 K: -0.068 eV/atom. The value obtained for the calculated volume is 369.92 Å³ per cell. The value obtained for the total DFT energy (no corrections) is -4.62 eV/atom. The space group is C2/m.

a b c (Å): 5.0867 8.1734 9.5886
angles (deg): 105.19 105.38 90.00
Sites, in units of the cell vectors:
Pr 0.4089 0.5563 0.8177
Er 0.7748 0.3676 0.5496
Pr 0.0449 0.7297 0.0899
Pr 0.9551 0.2703 0.9101
Pr 0.8630 0.8199 0.7260
Pr 0.6785 0.9087 0.3570
In 0.5000 0.0000 0.0000
Pr 0.5911 0.4437 0.1823
Pr 0.3215 0.0913 0.6430
Pr 0.1370 0.1801 0.2740
Er 0.2252 0.6324 0.4504

---

Record 8
Here is a relaxed structure of CoPtRh2 from the Alexandria database. Energies are from PBE.

Summary:
For the total magnetization, the calculation gives 2.53 μB per formula unit. As for the formation enthalpy at 0 K: 0.162 eV/atom. The value obtained for the calculated volume is 56.93 Å³ per cell. The value obtained for the total DFT energy (no corrections) is -6.80 eV/atom. The space group is P2/m.

a b c (Å): 4.5878 2.6855 4.6211
angles (deg): 89.45 90.00 90.00
Last column: magnetic moment on the atom in μB.
Sites, in units of the cell vectors:
Pt 0.5000 0.7500 0.7500  0.15
Rh 0.0000 0.4924 0.4950  0.22
Rh 0.0000 0.0076 0.0050  0.22
Co 0.5000 0.2500 0.2500  1.96